Entry 1:
The following is a DFT calculation (PBE-GGA) of crystalline Sr2SnBi3Pt4 at its relaxed geometry.

- Space group: P-4m2 (115)
- Energy relative to the elements: -598 meV per atom
- Energy: -4.915 eV per atom
- V: 257.51 Å³/cell

Cell lengths 4.873, 4.873, 10.843 Å; angles 90.00, 90.00, 90.00 degrees
Sites, in units of the cell vectors:
Sr: 0.000 0.500 0.235
Sr: 0.500 0.000 0.765
Sn: 0.000 0.000 0.500
Bi: 0.000 0.500 0.874
Bi: 0.500 0.000 0.126
Bi: 0.500 0.500 0.500
Pt: 0.000 0.000 0.000
Pt: 0.000 0.500 0.621
Pt: 0.500 0.000 0.379
Pt: 0.500 0.500 0.000

***

Entry 2:
The following is a DFT calculation (PBE-GGA) of crystalline CuPd8Au2 at its relaxed geometry.

- Space group: Cmmm (65)
- Polymorph energy (0 for the lowest one): 0.0000 eV per atom
- Energy relative to the elements: 139 meV per atom
- Energy: -4.606 eV per atom
- V: 184.04 Å³/cell

Cell lengths 6.733, 6.733, 4.227 Å; angles 90.00, 90.00, 106.22 degrees
Sites, in units of the cell vectors:
Cu: 0.000 0.000 0.000
Pd: 0.038 0.295 0.500
Pd: 0.232 0.768 0.000
Pd: 0.295 0.038 0.500
Pd: 0.324 0.324 0.000
Pd: 0.676 0.676 0.000
Pd: 0.705 0.962 0.500
Pd: 0.768 0.232 0.000
Pd: 0.962 0.705 0.500
Au: 0.375 0.625 0.500
Au: 0.625 0.375 0.500

***

Entry 3:
The following is a DFT calculation (PBE-GGA) of crystalline HfTaB2Cl at its relaxed geometry.

- Space group: P4/mmm (123)
- Formation energy (no corrections): 1465 meV/atom
- Energy: -5.936 eV per atom
- V: 86.38 Å³/cell

Cell lengths 4.300, 4.300, 4.671 Å; angles 90.00, 90.00, 90.00 degrees
Sites, in units of the cell vectors:
Hf: 0.000 0.000 0.000
Ta: 0.500 0.500 0.500
B: 0.000 0.500 0.000
B: 0.500 0.000 0.000
Cl: 0.000 0.000 0.500

***

Entry 4:
The following is a DFT calculation (PBE-GGA) of crystalline Sr2ZrAgSe5 at its relaxed geometry.

- Space group: Cmc2_1 (36)
- Formation energy (no corrections): -1305 meV/atom
- Energy: -4.881 eV per atom
- V: 475.61 Å³/cell

Cell lengths 9.377, 9.377, 12.820 Å; angles 90.00, 90.00, 155.04 degrees
Sites, in units of the cell vectors:
Sr: 0.115 0.885 0.500
Sr: 0.125 0.875 0.136
Sr: 0.875 0.125 0.636
Sr: 0.885 0.115 0.000
Zr: 0.200 0.800 0.832
Zr: 0.800 0.200 0.332
Ag: 0.440 0.560 0.253
Ag: 0.560 0.440 0.753
Se: 0.052 0.948 0.876
Se: 0.289 0.711 0.477
Se: 0.300 0.700 0.183
Se: 0.348 0.652 0.822
Se: 0.496 0.504 0.575
Se: 0.504 0.496 0.075
Se: 0.652 0.348 0.322
Se: 0.700 0.300 0.683
Se: 0.711 0.289 0.977
Se: 0.948 0.052 0.376

***

Entry 5:
The following is a DFT calculation (PBE-GGA) of crystalline HfRhBr3 at its relaxed geometry.

- Space group: Pm-3m (221)
- Polymorph energy (0 for the lowest one): 0.0000 eV per atom
- Formation energy (no corrections): 204 meV/atom
- Energy: -4.261 eV per atom
- V: 141.27 Å³/cell

Cell lengths 5.208, 5.208, 5.208 Å; angles 90.00, 90.00, 90.00 degrees
Sites, in units of the cell vectors:
Hf: 0.000 0.000 0.000
Rh: 0.500 0.500 0.500
Br: 0.000 0.000 0.500
Br: 0.000 0.500 0.000
Br: 0.500 0.000 0.000

***

Entry 6:
The following is a DFT calculation (PBE-GGA) of crystalline BaAl2Au at its relaxed geometry.

- Space group: Fm-3m (225)
- Energy relative to the elements: -9 meV per atom
- Energy: -3.180 eV per atom
- V: 94.31 Å³/cell

Cell lengths 5.109, 5.109, 5.109 Å; angles 60.00, 60.00, 60.00 degrees
Sites, in units of the cell vectors:
Ba: 0.000 0.000 0.000
Al: 0.250 0.250 0.250
Al: 0.750 0.750 0.750
Au: 0.500 0.500 0.500

***

Entry 7:
The following is a DFT calculation (PBE-GGA) of crystalline MgZn2Hg at its relaxed geometry.

- Space group: I-4m2 (119)
- Polymorph energy (0 for the lowest one): 0.0066 eV per atom
- Energy relative to the elements: -26 meV per atom
- Energy: -1.137 eV per atom
- V: 74.08 Å³/cell

Cell lengths 5.098, 5.098, 5.098 Å; angles 130.88, 130.88, 72.01 degrees
Sites, in units of the cell vectors:
Mg: 0.000 0.000 0.000
Zn: 0.250 0.750 0.500
Zn: 0.500 0.500 0.000
Hg: 0.750 0.250 0.500

***

Entry 8:
The following is a DFT calculation (PBE-GGA) of crystalline Pm2Dy2Ho7 at its relaxed geometry.

- Space group: C2/m (12)
- Polymorph energy (0 for the lowest one): 0.0000 eV per atom
- Energy relative to the elements: 154 meV per atom
- Energy: -4.459 eV per atom
- V: 356.77 Å³/cell

Cell lengths 8.019, 8.019, 6.063 Å; angles 106.30, 106.30, 91.63 degrees
Sites, in units of the cell vectors:
Pm: 0.091 0.091 0.306
Pm: 0.909 0.909 0.694
Dy: 0.286 0.714 0.000
Dy: 0.714 0.286 0.000
Ho: 0.088 0.563 0.322
Ho: 0.271 0.271 0.920
Ho: 0.437 0.912 0.678
Ho: 0.500 0.500 0.500
Ho: 0.563 0.088 0.322
Ho: 0.729 0.729 0.080
Ho: 0.912 0.437 0.678

***

Entry 9:
The following is a DFT calculation (PBE-GGA) of crystalline PmGdFe at its relaxed geometry.

- Space group: I4mm (107)
- Energy relative to the elements: 105 meV per atom
- Energy: -8.993 eV per atom
- V: 77.02 Å³/cell

Cell lengths 6.962, 6.962, 6.962 Å; angles 151.43, 151.43, 40.84 degrees
Sites, in units of the cell vectors:
Pm: 0.000 0.000 0.000
Gd: 0.748 0.748 0.000
Fe: 0.370 0.370 0.000

***

Entry 10:
The following is a DFT calculation (PBE-GGA) of crystalline Ce2GeAs5 at its relaxed geometry.

- Space group: Cm (8)
- Energy relative to the elements: -678 meV per atom
- Energy: -5.644 eV per atom
- V: 164.76 Å³/cell

Cell lengths 6.129, 6.129, 6.076 Å; angles 118.30, 118.30, 93.31 degrees
Sites, in units of the cell vectors:
Ce: 0.250 0.750 0.000
Ce: 0.750 0.250 0.000
Ge: 0.251 0.251 0.500
As: 0.250 0.250 0.000
As: 0.250 0.750 0.500
As: 0.750 0.250 0.500
As: 0.750 0.750 0.000
As: 0.750 0.750 0.500

***

Entry 11:
The following is a DFT calculation (PBE-GGA) of crystalline K2Pb2Br at its relaxed geometry.

- Space group: P4/mbm (127)
- Polymorph energy (0 for the lowest one): 0.0000 eV per atom
- Formation energy (no corrections): -324 meV/atom
- Energy: -2.581 eV per atom
- V: 442.41 Å³/cell

Cell lengths 9.807, 9.807, 4.600 Å; angles 90.00, 90.00, 90.00 degrees
Sites, in units of the cell vectors:
K: 0.203 0.297 0.000
K: 0.297 0.797 0.000
K: 0.703 0.203 0.000
K: 0.797 0.703 0.000
Pb: 0.101 0.601 0.500
Pb: 0.399 0.101 0.500
Pb: 0.601 0.899 0.500
Pb: 0.899 0.399 0.500
Br: 0.000 0.000 0.000
Br: 0.500 0.500 0.000

***

Entry 12:
The following is a DFT calculation (PBE-GGA) of crystalline SrPt2 at its relaxed geometry.

- Space group: I4/mcm (140)
- Energy relative to the elements: -728 meV per atom
- Energy: -5.316 eV per atom
- V: 137.17 Å³/cell

Cell lengths 6.191, 6.191, 6.191 Å; angles 129.65, 129.65, 73.96 degrees
Sites, in units of the cell vectors:
Sr: 0.250 0.250 0.000
Sr: 0.750 0.750 0.000
Pt: 0.180 0.680 0.860
Pt: 0.320 0.180 0.500
Pt: 0.680 0.820 0.500
Pt: 0.820 0.320 0.140

***

Question: The highest energy belongs to which entry?
Answer: MgZn2Hg